Entry 1:
This record from Alexandria via LeMat-Bulk describes a relaxed structure of Ge6Ir3Ru. The functional is PBE.

## Properties
Final energy ... -65.31 eV/f.u.
Formation enthalpy at 0 K ... -17 kJ per mole of atoms
Symmetry ... No. 11

abc: 10.9504 3.0058 11.4993
angles: 90.00 116.01 90.00
Closest atoms and distances in Å follow each position.
Positions (direct):
Ge  0.0172  0.2500  0.3034  3 Ir 2.45-2.52, 1 Ge 2.68
Ge  0.1300  0.2500  0.0074  3 Ir 2.54-2.61, 2 Ru 2.62
Ge  0.1964  0.2500  0.5538  3 Ir 2.50-2.53, 1 Ge 2.68
Ge  0.3201  0.7500  0.3669  4 Ir 2.38-2.52
Ge  0.3857  0.2500  0.9137  2 Ir 2.51, 2 Ru 2.51
Ge  0.4754  0.7500  0.7551  3 Ir 2.55-2.69, 2 Ru 2.60, 2 Ge 2.85
Ge  0.5246  0.2500  0.2449  3 Ir 2.55-2.69, 2 Ru 2.60, 2 Ge 2.85
Ge  0.6143  0.7500  0.0863  2 Ir 2.51, 2 Ru 2.51
Ge  0.6799  0.2500  0.6331  4 Ir 2.38-2.52
Ge  0.8036  0.7500  0.4462  3 Ir 2.50-2.53, 1 Ge 2.68
Ge  0.8700  0.7500  0.9926  3 Ir 2.54-2.61, 2 Ru 2.62
Ge  0.9828  0.7500  0.6966  3 Ir 2.45-2.52, 1 Ge 2.68
Ir  0.1058  0.7500  0.1816  6 Ge 2.38-2.61
Ir  0.2228  0.7500  0.7400  6 Ge 2.45-2.69
Ir  0.4284  0.2500  0.5611  6 Ge 2.50-2.55
Ir  0.5716  0.7500  0.4389  6 Ge 2.50-2.55
Ir  0.7772  0.2500  0.2600  6 Ge 2.45-2.69
Ir  0.8942  0.2500  0.8184  6 Ge 2.38-2.61
Ru  0.3450  0.7500  0.0681  6 Ge 2.51-2.62
Ru  0.6550  0.2500  0.9319  6 Ge 2.51-2.62

=====

Entry 2:
This record from Alexandria via LeMat-Bulk describes a relaxed structure of Zn2Ga2Ag7. The functional is PBE.

## Properties
Final energy ... -28.04 eV/f.u.
Energy above the lowest structure with this stoichiometry ... 4.2 kJ per mole of atoms
Formation enthalpy at 0 K ... 5 kJ per mole of atoms
Symmetry ... No. 12

abc: 6.3368 6.3368 5.4694
angles: 104.08 104.08 102.48
Closest atoms and distances in Å follow each position.
Positions (direct):
Zn  0.1473  0.1473  0.4487  1 Zn 2.61, 6 Ag 2.69-2.82
Zn  0.8527  0.8527  0.5513  1 Zn 2.61, 6 Ag 2.69-2.82
Ga  0.3599  0.6401  0.0000  6 Ag 2.65-2.87, 1 Ga 2.77
Ga  0.6401  0.3599  0.0000  6 Ag 2.65-2.87, 1 Ga 2.77
Ag  0.0707  0.5655  0.2953  2 Ga 2.65-2.76, 1 Zn 2.82, 5 Ag 2.84-2.96
Ag  0.1777  0.1777  0.9761  3 Zn 2.69-2.80, 2 Ga 2.87, 6 Ag 2.91-3.01
Ag  0.4345  0.9293  0.7047  2 Ga 2.65-2.76, 1 Zn 2.82, 5 Ag 2.84-2.96
Ag  0.5000  0.5000  0.5000  2 Zn 2.70, 6 Ag 2.84-3.01
Ag  0.5655  0.0707  0.2953  2 Ga 2.65-2.76, 1 Zn 2.82, 5 Ag 2.84-2.96
Ag  0.8223  0.8223  0.0239  3 Zn 2.69-2.80, 2 Ga 2.87, 6 Ag 2.91-3.01
Ag  0.9293  0.4345  0.7047  2 Ga 2.65-2.76, 1 Zn 2.82, 5 Ag 2.84-2.96